(1)
An optimized crystal structure of TbCe3Pt12, computed with PBE-GGA.

```
TbCe3Pt12
1.0
4.159 0.000 0.000
0.000 4.159 0.000
0.000 0.000 16.640
Tb Ce Pt
1 3 12
Cartesian
0.000 0.000 0.000
0.000 0.000 4.127
0.000 0.000 8.320
0.000 0.000 12.513
0.000 2.079 2.087
0.000 2.079 6.231
0.000 2.079 10.408
0.000 2.079 14.552
2.079 0.000 2.087
2.079 0.000 6.231
2.079 0.000 10.408
2.079 0.000 14.552
2.079 2.079 0.000
2.079 2.079 4.150
2.079 2.079 8.320
2.079 2.079 12.490
```

Values from the calculation:
**Space group**: No. 123
**Total magnetization**: 0.4 μB per cell
**E_form**: -1.01 eV per atom


(2)
An optimized crystal structure of Pr6DyIn, computed with PBE-GGA.

```
Pr6DyIn
1.0
5.069 0.000 0.000
0.000 5.069 0.000
0.000 0.000 10.408
Pr Dy In
6 1 1
Cartesian
0.000 0.000 0.000
0.000 0.000 5.204
0.000 2.534 2.532
0.000 2.534 7.876
2.534 0.000 2.532
2.534 0.000 7.876
2.534 2.534 5.204
2.534 2.534 0.000
```

Values from the calculation:
**Space group**: No. 123
**Total magnetization**: 0.0 μB per cell
**E_form**: -0.12 eV per atom


(3)
An optimized crystal structure of Li2UPb3Se6, computed with PBE-GGA.

```
Li2UPb3Se6
1.0
3.624 -6.283 0.000
3.624 6.283 0.000
-2.363 0.000 7.037
Li U Pb Se
2 1 3 6
Cartesian
3.624 4.096 0.000
3.624 -4.096 0.000
3.624 0.000 0.000
-1.182 0.000 3.518
2.442 2.078 3.518
2.442 -2.078 3.518
0.056 2.038 5.484
1.282 0.000 1.655
0.056 -2.038 5.484
4.828 2.038 1.553
3.602 0.000 5.382
4.828 -2.038 1.553
```

Values from the calculation:
**Space group**: No. 12
**Total magnetization**: 2.0 μB per cell
**Formation energy (no corrections)**: -10.38 eV per formula unit


(4)
An optimized crystal structure of Ba2Cd3Ag, computed with PBE-GGA.

```
Ba2Cd3Ag
1.0
0.000 5.165 8.806
4.374 0.000 8.806
4.374 5.165 0.000
Ba Cd Ag
4 6 2
Cartesian
6.594 5.165 8.806
2.187 2.583 4.403
6.561 7.748 13.208
2.154 5.165 8.806
4.374 2.551 7.312
4.374 5.165 5.835
4.374 2.551 10.300
4.374 7.779 7.312
4.374 5.165 11.776
4.374 7.779 10.300
4.374 5.165 2.923
4.374 5.165 14.688
```

Values from the calculation:
**Space group**: No. 69
**Total magnetization**: 0.0 μB per cell
**E_form**: -0.31 eV per atom


(5)
An optimized crystal structure of Sr3Pb5Cl16, computed with PBE-GGA.

```
Sr3Pb5Cl16
1.0
7.638 -4.406 0.000
7.638 4.406 0.000
-0.221 0.000 12.985
Sr Pb Cl
3 5 16
Cartesian
0.000 0.000 0.000
6.266 2.194 6.525
6.266 -2.194 6.525
3.804 2.193 0.069
2.419 0.000 9.438
3.804 -2.193 0.069
7.607 0.000 2.955
10.071 0.000 6.575
3.746 2.195 7.988
6.364 2.244 1.491
2.495 0.000 1.528
8.898 2.502 11.307
4.591 0.000 11.366
8.670 1.914 4.852
5.382 0.000 4.794
7.502 0.000 8.005
3.746 -2.195 7.988
10.171 0.000 1.511
6.364 -2.244 1.491
8.670 -1.914 4.852
12.488 0.000 11.588
12.615 0.000 5.125
8.898 -2.502 11.307
15.119 0.000 7.978
```

Values from the calculation:
**Space group**: No. 8
**Total magnetization**: 0.0 μB per cell
**Formation energy (no corrections)**: -39.28 eV per formula unit


(6)
An optimized crystal structure of AcMg4Bi, computed with PBE-GGA.

```
AcMg4Bi
1.0
0.000 4.395 4.395
4.395 0.000 4.395
4.395 4.395 0.000
Ac Mg Bi
1 4 1
Cartesian
0.000 0.000 0.000
3.302 3.302 3.302
5.488 5.488 3.302
5.488 3.302 5.488
3.302 5.488 5.488
6.593 6.593 6.593
```

Values from the calculation:
**Space group**: No. 216
**Total magnetization**: 0.0 μB per cell
**E_form**: -0.08 eV per atom


(7)
An optimized crystal structure of Li2BW, computed with PBE-GGA.

```
Li2BW
1.0
-3.332 3.332 2.189
3.332 -3.332 2.189
3.332 3.332 -2.189
Li B W
4 2 2
Cartesian
1.666 1.269 -0.547
2.063 -1.666 2.736
1.666 2.063 1.641
1.269 4.999 0.547
0.000 0.000 0.000
0.000 3.332 1.094
3.332 0.000 1.094
0.000 0.000 2.189
```

Values from the calculation:
**Space group**: No. 122
**Total magnetization**: 0.0 μB per cell
**E_form**: 0.83 eV per atom


(8)
An optimized crystal structure of Li3Zn3Cu, computed with PBE-GGA.

```
Li3Zn3Cu
1.0
2.655 1.533 9.281
-2.655 1.533 9.281
0.000 -3.066 9.281
Li Zn Cu
6 6 2
Cartesian
0.000 -1.527 8.015
-1.322 0.763 8.015
-1.322 -0.763 19.827
1.322 0.763 8.015
1.322 -0.763 19.827
0.000 1.527 19.827
-1.323 -0.764 15.070
0.000 -1.528 12.772
-1.323 0.764 12.772
1.323 -0.764 15.070
0.000 1.528 15.070
1.323 0.764 12.772
0.000 0.000 5.830
0.000 0.000 22.012
```

Values from the calculation:
**Space group**: No. 166
**Total magnetization**: 0.0 μB per cell
**E_form**: 0.01 eV per atom


| no. | volume (Å³ per cell) | energy (eV/atom) |
| --- | --- | --- |
| 1 | 287.8 | -6.9376 |
| 2 | 267.4 | -4.6236 |
| 3 | 320.4 | -4.7942 |
| 4 | 397.9 | -1.8841 |
| 5 | 874.0 | -3.8505 |
| 6 | 169.8 | -2.4699 |
| 7 | 97.2 | -5.0324 |
| 8 | 226.7 | -1.9434 |